1.
Here is a geometry-optimized SrEu2Se structure from the Alexandria database. Energies are from GGA-PBE.

Properties
- VASP energy: -0.5334 Ry/atom
- ΔE_f (raw): -3.3 eV/f.u.
- Space group: R-3m (166)

Lattice parameters (Å, degrees): 4.140 4.140 11.555 79.68 79.68 60.00
Positions (direct):
Eu 0.113 0.113 0.660
Eu 0.887 0.887 0.340
Sr 0.000 0.000 0.000
Se 0.500 0.500 0.500

---

2.
Here is a geometry-optimized NpNi3 structure from the Alexandria database. Energies are from GGA-PBE.

Properties
- VASP energy: -0.5461 Ry/atom
- Space group: Pmm2 (25)

Lattice parameters (Å, degrees): 2.728 4.143 5.009 90.00 90.00 90.00
Positions (direct):
Np 0.000 0.500 0.319
Ni 0.000 0.000 0.963
Ni 0.500 0.000 0.554
Ni 0.500 0.500 0.831

---

3.
Here is a geometry-optimized MgNi6B3 structure from the Alexandria database. Energies are from GGA-PBE.

Properties
- VASP energy: -0.4326 Ry/atom
- Space group: Cmc2_1 (36)

Lattice parameters (Å, degrees): 5.273 6.194 6.194 99.39 90.00 90.00
Positions (direct):
Mg 0.996 0.284 0.716
Mg 0.496 0.716 0.284
Ni 0.159 0.708 0.629
Ni 0.659 0.629 0.708
Ni 0.292 0.541 0.941
Ni 0.792 0.941 0.541
Ni 0.258 0.003 0.997
Ni 0.529 0.229 0.771
Ni 0.029 0.771 0.229
Ni 0.758 0.997 0.003
Ni 0.292 0.059 0.459
Ni 0.792 0.459 0.059
Ni 0.159 0.371 0.292
Ni 0.659 0.292 0.371
B 0.463 0.914 0.704
B 0.963 0.704 0.914
B 0.373 0.418 0.582
B 0.873 0.582 0.418
B 0.963 0.086 0.296
B 0.463 0.296 0.086

---

4.
Here is a geometry-optimized Re2GeAsOs structure from the Alexandria database. Energies are from GGA-PBE.

Properties
- VASP energy: -0.5346 Ry/atom
- Space group: P4/mmm (123)

Lattice parameters (Å, degrees): 4.839 4.583 4.839 90.00 90.00 90.00
Positions (direct):
Re 0.000 0.000 0.500
Re 0.500 0.000 0.000
As 0.000 0.500 0.000
Os 0.000 0.000 0.000
Ge 0.500 0.500 0.500

---

5.
Here is a geometry-optimized Np2Se2O structure from the Alexandria database. Energies are from GGA-PBE.

Properties
- VASP energy: -0.6839 Ry/atom
- Offset from the most stable computed form: 0.8 kJ/mol of atoms
- ΔE_f (raw): -8.7 eV/f.u.
- Space group: Cmc2_1 (36)

Lattice parameters (Å, degrees): 3.958 7.396 7.784 90.00 104.73 90.00
Positions (direct):
Np 0.446 0.409 0.891
Np 0.842 0.026 0.684
Np 0.158 0.526 0.316
Np 0.554 0.909 0.109
Se 0.951 0.713 0.903
Se 0.793 0.399 0.585
Se 0.207 0.899 0.415
Se 0.049 0.213 0.097
O 0.408 0.087 0.815
O 0.592 0.587 0.185

---

6.
Here is a geometry-optimized LiN2Cl structure from the Alexandria database. Energies are from GGA-PBE.

Properties
- VASP energy: -0.2475 Ry/atom
- Offset from the most stable computed form: 251.3 kJ/mol of atoms
- ΔE_f (raw): 6.9 eV/f.u.
- Space group: R-3m (166)

Lattice parameters (Å, degrees): 6.257 6.257 6.257 28.07 28.07 28.07
Positions (direct):
N 0.896 0.896 0.896
N 0.104 0.104 0.104
Li 0.000 0.000 0.000
Cl 0.500 0.500 0.500